(1)
The following is a PBE calculation of a relaxed structure of Cu5Si, from Alexandria.

```
Cu5Si
1.0
0.2353 -3.0557 3.6553
-0.6693 1.5585 4.4584
-3.9633 -1.1899 2.3728
Cu Si
5 1
direct
0.2500 0.2500 0.2500
0.6250 0.6250 0.6250
0.6250 0.6250 0.1251
0.1251 0.6250 0.6250
0.6250 0.1251 0.6250
0.0000 0.0000 0.0000
```

**E_tot**: -4.15 eV/atom
**Energy relative to the elements, uncorrected**: 0.17 eV/atom
**Space group**: No. 216
**Total moment**: 0.00 μB/f.u.
**Energy above the most stable polymorph in this dataset**: 228 meV/atom
**Calculated volume**: 12.79 Å³ per atom

---

(2)
The following is a PBE calculation of a relaxed structure of Cu2Si, from Alexandria.

```
Cu2Si
1.0
1.9216 0.1929 8.9677
-2.2835 -1.1500 8.8097
1.5320 -1.2674 -8.9552
Cu Si
4 2
direct
0.2034 0.9534 0.2500
0.7966 0.0466 0.7500
0.0606 0.8106 0.2500
0.9394 0.1894 0.7500
0.6308 0.3808 0.2500
0.3692 0.6192 0.7500
```

**E_tot**: -4.34 eV/atom
**Energy relative to the elements, uncorrected**: 0.19 eV/atom
**Space group**: No. 74
**Total moment**: 0.00 μB/f.u.
**Calculated volume**: 13.61 Å³ per atom

---

(3)
The following is a PBE calculation of a relaxed structure of Cu3Si4, from Alexandria.

```
Cu3Si4
1.0
-2.9645 1.9777 3.3523
-1.0669 -4.4654 1.6910
3.7432 0.2936 3.1370
Cu Si
3 4
direct
0.5000 0.0000 0.5000
0.5000 0.5000 0.0000
0.0000 0.5000 0.5000
0.1821 0.8179 0.1821
0.8179 0.1821 0.1821
0.8179 0.8179 0.8179
0.1821 0.1821 0.8179
```

**E_tot**: -4.39 eV/atom
**Energy relative to the elements, uncorrected**: 0.47 eV/atom
**Space group**: No. 215
**Total moment**: 0.00 μB/f.u.
**Calculated volume**: 16.73 Å³ per atom

---

(4)
The following is a PBE calculation of a relaxed structure of Cu5Si, from Alexandria.

```
Cu5Si
1.0
5.7637 -0.0596 0.0000
-4.5973 3.4768 0.0000
0.0000 0.0000 3.6402
Cu Si
5 1
direct
0.8059 0.1941 0.5000
0.6351 0.3649 0.0000
0.4722 0.5278 0.5000
0.3094 0.6906 0.0000
0.1386 0.8614 0.5000
0.9722 0.0278 0.0000
```

**E_tot**: -4.36 eV/atom
**Energy relative to the elements, uncorrected**: -0.05 eV/atom
**Space group**: No. 65
**Total moment**: 0.00 μB/f.u.
**Energy above the most stable polymorph in this dataset**: 11 meV/atom
**Calculated volume**: 11.99 Å³ per atom